Below is a relaxed structure of HoP2IrRh5, with properties calculated at the GGA-PBE level.

Output
Energy of formation   -20.6 kJ/mol of atoms
Volume   17.98 A^3/atom

a b c (Å): 3.9080 3.9080 10.5937
angles (deg): 90.00 90.00 90.00
Space group P4/mmm (No. 123)
Symmetry-distinct sites (fractional):
Ho1 0.0000 0.0000 0.0000 [1 per cell]
P1 0.5000 0.5000 0.2134 [2 per cell]
Ir1 0.5000 0.5000 0.5000 [1 per cell]
Rh1 0.0000 0.5000 0.3349 [4 per cell]
Rh2 0.5000 0.5000 0.0000 [1 per cell]